Entry from Alexandria via LeMat-Bulk: a geometry-optimized Bi2TeHBr structure (PBE).

a = 6.217 Å, b = 6.217 Å, c = 3.731 Å
α = 90.00°, β = 90.00°, γ = 90.00°
Space group P4/mmm (No. 123)
Asymmetric unit:
Bi  0.000  0.500  0.000 x2
Te  0.000  0.000  0.000 x1
H  0.000  0.000  0.500 x1
Br  0.500  0.500  0.500 x1

Computed properties:
Total magnetization, μB/cell: 0.0
VASP energy, eV/atom: -2.936